<a>
DFT (PBE-GGA) results for a relaxed NbPbSe2N crystal.

Results
V in Å³/atom: 22.1
Calculated density in g cm⁻³: 7.10

abc: 5.2878 5.2878 3.9498
angles: 90.00 90.00 90.00
Atoms (fractional coordinates):
N: 0.0000 0.0000 0.5000
Pb: 0.5000 0.5000 0.5000
Se: 0.0000 0.5000 0.0000
Se: 0.5000 0.0000 0.0000
Nb: 0.0000 0.0000 0.0000

=====

<b>
DFT (PBE-GGA) results for a relaxed NbPbSe2N crystal.

Results
V in Å³/atom: 24.5
Calculated density in g cm⁻³: 6.40

abc: 5.4695 5.4695 4.0936
angles: 90.00 90.00 90.00
Last column: magnetic moment on the atom in μB.
Atoms (fractional coordinates):
Pb: 0.0000 0.0000 0.0000  -0.01
Nb: 0.5000 0.5000 0.5000  2.38
Se: 0.0000 0.5000 0.0000  -0.07
Se: 0.5000 0.0000 0.0000  -0.07
N: 0.0000 0.0000 0.5000  0.53

=====

Which is most stable? The ranking, best first, is <a>, <b>.

=====

<a>
DFT (PBE-GGA) results for a relaxed NbTe2PbN crystal.

Results
V in Å³/atom: 25.6
Calculated density in g cm⁻³: 7.38

abc: 5.6908 5.6908 3.9573
angles: 90.00 90.00 90.00
Atoms (fractional coordinates):
Te: 0.5000 0.0000 0.0000
Te: 0.0000 0.5000 0.0000
Nb: 0.0000 0.0000 0.0000
N: 0.0000 0.0000 0.5000
Pb: 0.5000 0.5000 0.5000

=====

<b>
DFT (PBE-GGA) results for a relaxed NbTe2PbN crystal.

Results
V in Å³/atom: 28.2
Calculated density in g cm⁻³: 6.70

abc: 5.8453 5.8453 4.1323
angles: 90.00 90.00 90.00
Last column: magnetic moment on the atom in μB.
Atoms (fractional coordinates):
Te: 0.0000 0.5000 0.0000  -0.08
Te: 0.5000 0.0000 0.0000  -0.08
Nb: 0.5000 0.5000 0.5000  2.42
N: 0.0000 0.0000 0.5000  0.56
Pb: 0.0000 0.0000 0.0000  -0.01

=====

Which is most stable? The ranking, best first, is <a>, <b>.

=====

<a>
DFT (PBE-GGA) results for a relaxed NbPdN crystal.

Results
V in Å³/atom: 13.3
Calculated density in g cm⁻³: 8.88

abc: 3.0231 3.0231 4.3666
angles: 90.00 90.00 90.00
Atoms (fractional coordinates):
Nb: 0.5000 0.5000 0.0000
Pd: 0.0000 0.0000 0.5000
N: 0.0000 0.0000 0.0000

=====

<b>
DFT (PBE-GGA) results for a relaxed NbPdN crystal.

Results
V in Å³/atom: 14.0
Calculated density in g cm⁻³: 8.43

abc: 5.3200 3.0805 11.0349
angles: 90.00 111.73 90.00
Atoms (fractional coordinates):
Pd: 0.7696 0.5000 0.6887
Pd: 0.7696 0.0000 0.1887
Pd: 0.6860 0.5000 0.9527
Pd: 0.6860 0.0000 0.4527
N: 0.2722 0.0000 0.3173
N: 0.1001 0.0000 0.5365
N: 0.1001 0.5000 0.0365
N: 0.2722 0.5000 0.8173
Nb: 0.1210 0.5000 0.4084
Nb: 0.3713 0.0000 0.7126
Nb: 0.1210 0.0000 0.9084
Nb: 0.3713 0.5000 0.2126

=====

<c>
DFT (PBE-GGA) results for a relaxed NbPdN crystal.

Results
V in Å³/atom: 13.7
Calculated density in g cm⁻³: 8.62

abc: 2.9054 5.2314 5.4090
angles: 90.00 90.00 90.00
Atoms (fractional coordinates):
Pd: 0.5000 0.5777 0.1808
Pd: 0.5000 0.4223 0.6808
Nb: 0.0000 0.1368 0.1107
Nb: 0.0000 0.8632 0.6107
N: 0.5000 0.0336 0.8422
N: 0.5000 0.9664 0.3422

=====

<d>
DFT (PBE-GGA) results for a relaxed NbPdN crystal.

Results
V in Å³/atom: 13.3
Calculated density in g cm⁻³: 8.88

abc: 6.0063 8.7783 3.0259
angles: 90.00 90.00 90.00
Atoms (fractional coordinates):
Nb: 0.5000 0.7277 0.0000
Nb: 0.5000 0.2723 0.0000
Nb: 0.0000 0.7723 0.0000
Nb: 0.0000 0.2277 0.0000
Pd: 0.7434 0.0000 0.5000
Pd: 0.7566 0.5000 0.5000
Pd: 0.2434 0.5000 0.5000
Pd: 0.2566 0.0000 0.5000
N: 0.7500 0.7500 0.5000
N: 0.2500 0.7500 0.5000
N: 0.7500 0.2500 0.5000
N: 0.2500 0.2500 0.5000

=====

Which is most stable? The ranking, best first, is <c>, <d>, <a>, <b>.

=====

<a>
DFT (PBE-GGA) results for a relaxed NbPdN crystal.

Results
V in Å³/atom: 14.4
Calculated density in g cm⁻³: 8.23

abc: 5.2350 3.0181 11.4368
angles: 90.00 107.62 90.00
Atoms (fractional coordinates):
Pd: 0.7144 0.5000 0.3085
Pd: 0.7144 0.0000 0.8085
Pd: 0.7046 0.0000 0.0602
Pd: 0.7046 0.5000 0.5602
Nb: 0.2888 0.0000 0.1374
Nb: 0.2888 0.5000 0.6374
Nb: 0.2648 0.5000 0.8917
Nb: 0.2648 0.0000 0.3917
N: 0.0629 0.5000 0.4588
N: 0.0629 0.0000 0.9588
N: 0.2847 0.0000 0.7596
N: 0.2847 0.5000 0.2596

=====

<b>
DFT (PBE-GGA) results for a relaxed NbPdN crystal.

Results
V in Å³/atom: 14.1
Calculated density in g cm⁻³: 8.40

abc: 2.9653 5.3843 5.7922
angles: 75.43 75.25 74.04
Atoms (fractional coordinates):
Pd: 0.5814 0.1365 0.6440
Pd: 0.2476 0.6423 0.8121
Nb: 0.9646 0.6194 0.4004
Nb: 0.8751 0.1305 0.0649
N: 0.1994 0.3755 0.1708
N: 0.4283 0.8632 0.2281

=====

Which is most stable? The ranking, best first, is <b>, <a>.